[1]
This record from Alexandria via LeMat-Bulk describes an optimized crystal structure of ZnTcRh2Cl. The functional is PBE.

The total energy comes out at -4.739 eV per atom.

The space group is P4/mmm (No. 123) and the conventional cell measures 4.7465, 4.7465 and 4.5603 Å, with angles of 90.00, 90.00 and 90.00 degrees. The asymmetric unit holds Zn at (0.0000, 0.0000, 0.0000), Tc at (0.5000, 0.5000, 0.5000), Rh at (0.0000, 0.5000, 0.5000) and Cl at (0.5000, 0.5000, 0.0000).

=====

[2]
This record from Alexandria via LeMat-Bulk describes an optimized crystal structure of Ti5Tc4Ir. The functional is PBE.

The total energy comes out at -9.588 eV per atom. As for the formation energy: -608.3 meV/atom.

The space group is P4/mmm (No. 123) and the conventional cell measures 3.0997, 3.0997 and 15.5758 Å, with angles of 90.00, 90.00 and 90.00 degrees. The asymmetric unit holds Ti at (0.0000, 0.0000, 0.0000), Ti at (0.0000, 0.0000, 0.2001), Ti at (0.0000, 0.0000, 0.3958), Tc at (0.5000, 0.5000, 0.0998), Tc at (0.5000, 0.5000, 0.3008) and Ir at (0.5000, 0.5000, 0.5000).

=====

[3]
This record from Alexandria via LeMat-Bulk describes an optimized crystal structure of Li6PmAu4. The functional is PBE.

The total energy comes out at -3.156 eV per atom. As for the formation energy: -488.3 meV/atom.

The space group is P-6m2 (No. 187) and the conventional cell measures 7.6186, 7.6186 and 3.9806 Å, with angles of 90.00, 90.00 and 120.00 degrees. The asymmetric unit holds Li at (0.2010, 0.4019, 0.0000), Li at (0.2569, 0.1284, 0.5000), Pm at (0.6667, 0.3333, 0.0000), Au at (0.0000, 0.0000, 0.0000) and Au at (0.0467, 0.5233, 0.5000).

=====

[4]
This record from Alexandria via LeMat-Bulk describes an optimized crystal structure of SrP2PdRh. The functional is PBE.

The total energy comes out at -5.823 eV per atom. As for the formation energy: -813.6 meV/atom.

The space group is I-4m2 (No. 119) and the conventional cell measures 4.2002, 4.2002 and 9.8303 Å, with angles of 90.00, 90.00 and 90.00 degrees. The asymmetric unit holds Sr at (0.0000, 0.0000, 0.0000), P at (0.0000, 0.0000, 0.3844), Pd at (0.0000, 0.5000, 0.7500) and Rh at (0.0000, 0.5000, 0.2500).

=====

Volume, record by record: 20.5; 15.0; 18.2; 17.3 A^3/atom